Here is a geometry-optimized KPbCl3 structure from the Alexandria database. Energies are from PBE.

Unit cell a=4.3490 b=8.6533 c=8.7543 alpha=95.17 beta=90.00 gamma=90.00
Last column: nearest neighbours and their distance in Å.
Fractional coordinates of all 10 atoms:
Cl 0.2500 0.3663 0.6016  2 Pb 2.90
Cl 0.7500 0.0797 0.3139  3 Pb 3.02-3.13
K 0.7500 0.6382 0.7864  8 Cl 3.13-3.49
Cl 0.7500 0.6337 0.3984  2 Pb 2.90
K 0.2500 0.3618 0.2136  8 Cl 3.13-3.49
Cl 0.2500 0.6917 0.0436  1 Pb 2.71
Pb 0.7500 0.1611 0.6700  5 Cl 2.71-3.02
Pb 0.2500 0.8389 0.3300  5 Cl 2.71-3.02
Cl 0.2500 0.9203 0.6861  3 Pb 3.02-3.13
Cl 0.7500 0.3083 0.9564  1 Pb 2.71

Summary:
As for the formation energy without anion corrections: -1.476 eV per atom. As for the crystal system: monoclinic.